An optimized crystal structure of Ac2DyPd2, computed with PBE-GGA.

Unit cell a=8.1843 b=8.1843 c=4.2839 alpha=90.00 beta=90.00 gamma=90.00
With the nearest neighbours (Å) after each atom.
Positions (direct):
Ac1 0.1697 0.3303 0.0000  6 Pd 3.13-3.29
Ac2 0.3303 0.8303 0.0000  6 Pd 3.13-3.29
Ac3 0.6697 0.1697 0.0000  6 Pd 3.13-3.29
Ac4 0.8303 0.6697 0.0000  6 Pd 3.13-3.29
Dy1 0.0000 0.0000 0.5000  4 Pd 3.20
Dy2 0.5000 0.5000 0.5000  4 Pd 3.20
Pd1 0.1326 0.6326 0.5000  1 Pd 3.07, 6 Ac 3.13-3.29, 2 Dy 3.20
Pd2 0.3674 0.1326 0.5000  1 Pd 3.07, 6 Ac 3.13-3.29, 2 Dy 3.20
Pd3 0.6326 0.8674 0.5000  1 Pd 3.07, 6 Ac 3.13-3.29, 2 Dy 3.20
Pd4 0.8674 0.3674 0.5000  1 Pd 3.07, 6 Ac 3.13-3.29, 2 Dy 3.20

Results
As for the magnetization: 0.000 μB per formula unit. As for the volume: 287 Å³ per cell. For the formation energy, the calculation gives -0.66 eV/atom. The value obtained for the total energy is -0.390 Ry per atom.